# GGA-PBE PuTl2Pd8, relaxed
data_PuTl2Pd8
_chemical_formula_sum 'Pu2 Tl4 Pd16'
_symmetry_space_group_name_H-M 'C 1 2/m 1'
_symmetry_Int_Tables_number 12
_cell_length_a 7.752
_cell_length_b 13.139
_cell_length_c 5.159
_cell_angle_alpha 90.00
_cell_angle_beta 129.27
_cell_angle_gamma 90.00
loop_
_symmetry_equiv_pos_as_xyz
'x,y,z'
'-x,-y,-z'
'-x,y,-z'
'x,-y,z'
'x+1/2,y+1/2,z'
'-x+1/2,-y+1/2,-z'
'-x+1/2,y+1/2,-z'
'x+1/2,-y+1/2,z'
loop_
_atom_site_label
_atom_site_type_symbol
_atom_site_fract_x
_atom_site_fract_y
_atom_site_fract_z
_atom_site_occupancy
Pu1 Pu 0.000 0.000 0.000 1
Tl1 Tl 0.000 0.308 0.500 1
Pd1 Pd 0.000 0.215 0.000 1
Pd2 Pd 0.077 0.500 0.815 1
Pd3 Pd 0.215 0.115 0.629 1
# * polymorph energy (0 for the lowest one): 1.373 kcal/mol of atoms
# * formation energy from the elements: -0.197 eV per atom

=====

# GGA-PBE ZnB2Ir4, relaxed
data_ZnB2Ir4
_chemical_formula_sum 'Zn2 B4 Ir8'
_symmetry_space_group_name_H-M 'I 4/m m m'
_symmetry_Int_Tables_number 139
_symmetry_space_group_name_Hall '-I 4 2'
_cell_length_a 4.474
_cell_length_b 4.474
_cell_length_c 10.602
_cell_angle_alpha 90.00
_cell_angle_beta 90.00
_cell_angle_gamma 90.00
loop_
_atom_site_label
_atom_site_type_symbol
_atom_site_fract_x
_atom_site_fract_y
_atom_site_fract_z
_atom_site_occupancy
Zn1 Zn 0.000 0.000 0.000 1
B1 B 0.000 0.000 0.421 1
Ir1 Ir 0.000 0.000 0.240 1
Ir2 Ir 0.000 0.500 0.000 1
# * polymorph energy (0 for the lowest one): 26.156 kcal/mol of atoms
# * formation energy from the elements: 1.111 eV per atom